Entry from the Alexandria database: a relaxed LiTc2 crystal (PBE).

For the offset from the most stable computed form, the calculation gives 319 meV/atom. As for the density of states at the Fermi level: 7.2 states/eV/cell. Its formation energy is 0.418 eV/atom. For the total moment, the calculation gives 0.0 μB/f.u.

The structure belongs to space group P6_3/mmc (No. 194); the cell edges are 4.2541, 4.2541 and 5.0649 Å and the angles 90.00°, 90.00° and 120.00°. The inequivalent atoms are Li at (0.3333, 0.6667, 0.2500), Tc at (0.0000, 0.0000, 0.0000) and Tc at (0.3333, 0.6667, 0.7500).